Entry from the Alexandria database: a relaxed Na4CoO4 crystal (PBE+U).

**Magnetic moment**: 4.988 μB per formula unit
**Calculated total energy**: -83.44 eV per cell
**Symmetry**: No. 137

abc: 6.6210 6.6210 5.4896
angles: 90.00 90.00 90.00
Fractional coordinates of all 18 atoms:
1 Na 0.0319 0.2500 0.1239
2 Na 0.2500 0.0319 0.6239
3 Na 0.2500 0.4681 0.6239
4 Na 0.4681 0.2500 0.1239
5 Na 0.5319 0.7500 0.8761
6 Na 0.7500 0.5319 0.3761
7 Na 0.7500 0.9681 0.3761
8 Na 0.9681 0.7500 0.8761
9 Co 0.2500 0.7500 0.2500
10 Co 0.7500 0.2500 0.7500
11 O 0.0312 0.7500 0.4493
12 O 0.2500 0.5312 0.0507
13 O 0.2500 0.9688 0.0507
14 O 0.4688 0.7500 0.4493
15 O 0.5312 0.2500 0.5507
16 O 0.7500 0.0312 0.9493
17 O 0.7500 0.4688 0.9493
18 O 0.9688 0.2500 0.5507